VASP calculation (PBE) on a relaxed Tb4Pm3Cd4 crystal.

Calculated values
**Total magnetic moment**: 0.00 μB per cell
**E**: -3.42 eV/atom
**Space group**: Immm
**Volume**: 30.0 A^3/atom
**D(E_F)**: 1.062 states/eV/atom

Geometry as POSCAR:
```
Tb4Pm3Cd4
1.0
-2.677 3.597 8.561
2.677 -3.597 8.561
2.677 3.597 -8.561
Tb Pm Cd
4 3 4
Cartesian
2.677 -1.915 5.468 Tb
0.000 1.683 3.093 Tb
2.677 1.915 5.468 Tb
0.000 5.512 3.093 Tb
2.677 0.000 0.000 Pm
0.000 0.000 6.770 Pm
0.000 0.000 10.352 Pm
2.677 0.000 3.094 Cd
0.000 2.138 0.000 Cd
0.000 5.057 0.000 Cd
0.000 3.597 5.467 Cd
```